Density functional theory data (GGA-PBE) for Re2SbAu after structural relaxation.

a b c (Å): 2.9421 2.9421 29.0959
angles (deg): 90.00 90.00 120.00
With the nearest neighbours (Å) after each atom.
Space group R3m (No. 160, hexagonal axes)
Symmetry-distinct sites (fractional):
Re  0.0000  0.0000  0.0000 [3 per cell]  9 Re 2.64-2.94, 3 Au 2.94
Re  0.0000  0.0000  0.2639 [3 per cell]  9 Re 2.64-2.94, 3 Sb 2.93
Sb  0.0000  0.0000  0.5153 [3 per cell]  3 Re 2.93, 6 Sb 2.94
Au  0.0000  0.0000  0.7492 [3 per cell]  3 Re 2.94, 6 Au 2.94

Properties
Its total magnetic moment is 0.00 μB/f.u. The value obtained for the energy is -7.651 eV per atom. The calculation puts the raw formation energy at 0.423 eV/atom.

Density functional theory data (GGA-PBE) for BaCaIN2 after structural relaxation.

a b c (Å): 4.8389 4.8389 5.8736
angles (deg): 90.00 90.00 90.00
With the nearest neighbours (Å) after each atom.
Space group P4/mmm (No. 123)
Symmetry-distinct sites (fractional):
Ba  0.0000  0.0000  0.0000 [1 per cell]  4 I 3.42, 8 N 3.81
Ca  0.5000  0.5000  0.5000 [1 per cell]  4 N 2.42
I  0.5000  0.5000  0.0000 [1 per cell]  2 Ca 2.94
N  0.0000  0.5000  0.5000 [2 per cell]  2 Ca 2.42

Properties
Its total magnetic moment is 3.00 μB/f.u. The value obtained for the energy is -4.167 eV per atom. The calculation puts the raw formation energy at 0.258 eV/atom.

Density functional theory data (GGA-PBE) for YBiPS2 after structural relaxation.

a b c (Å): 5.1091 5.1091 5.1875
angles (deg): 90.00 90.00 90.00
With the nearest neighbours (Å) after each atom.
Space group P4/mmm (No. 123)
Symmetry-distinct sites (fractional):
Y  0.0000  0.0000  0.0000 [1 per cell]  4 P 3.61, 8 S 3.64
Bi  0.5000  0.5000  0.5000 [1 per cell]  4 S 2.55, 2 P 2.59
P  0.5000  0.5000  0.0000 [1 per cell]  2 Bi 2.59
S  0.0000  0.5000  0.5000 [2 per cell]  2 Bi 2.55

Properties
Its total magnetic moment is 0.00 μB/f.u. The value obtained for the energy is -4.758 eV per atom. The calculation puts the raw formation energy at 0.044 eV/atom.

Density functional theory data (GGA-PBE) for Cr2HgPb after structural relaxation.

a b c (Å): 9.0443 3.3450 5.6681
angles (deg): 90.00 102.37 90.00
With the nearest neighbours (Å) after each atom.
Space group C2/m (No. 12)
Symmetry-distinct sites (fractional):
Cr  0.2473  0.0000  0.2375 [4 per cell]  3 Hg 2.88-2.89, 3 Pb 2.94-2.96, 2 Cr 3.18
Hg  0.0000  0.5000  0.0000 [2 per cell]  6 Cr 2.88-2.89
Pb  0.0000  0.0000  0.5000 [2 per cell]  6 Cr 2.94-2.96, 4 Hg 3.29

Properties
Its total magnetic moment is 7.52 μB/f.u. The value obtained for the energy is -5.172 eV per atom. The formation energy from the elements comes out at 0.6427 eV per atom.

Density functional theory data (GGA-PBE) for Tb5Pr8Pb after structural relaxation.

a b c (Å): 10.5119 10.5119 9.0457
angles (deg): 90.00 90.00 90.00
With the nearest neighbours (Å) after each atom.
Space group I-4 (No. 82)
Symmetry-distinct sites (fractional):
Tb  0.0000  0.0000  0.0000 [2 per cell]  4 Pr 3.58, 4 Tb 3.60
Tb  0.0855  0.1315  0.3544 [8 per cell]  4 Tb 3.30-3.60, 5 Pr 3.30-3.52
Pr  0.0070  0.3348  0.0725 [8 per cell]  1 Pb 3.40, 2 Tb 3.43-3.58, 3 Pr 3.48-3.74
Pr  0.1619  0.2421  0.6950 [8 per cell]  1 Pb 3.24, 4 Tb 3.30-3.52
Pb  0.0000  0.5000  0.7500 [2 per cell]  8 Pr 3.24-3.40

Properties
Its total magnetic moment is 0.00 μB/f.u. The value obtained for the energy is -4.512 eV per atom. The formation energy from the elements comes out at 0.1376 eV per atom.

Density functional theory data (GGA-PBE) for ScTlCd2 after structural relaxation.

a b c (Å): 7.2240 7.2240 7.2240
angles (deg): 90.00 90.00 90.00
With the nearest neighbours (Å) after each atom.
Space group Fm-3m (No. 225)
Symmetry-distinct sites (fractional):
Sc  0.0000  0.0000  0.0000 [4 per cell]  8 Cd 3.13
Tl  0.0000  0.0000  0.5000 [4 per cell]  8 Cd 3.13
Cd  0.2500  0.2500  0.2500 [8 per cell]  4 Tl 3.13, 4 Sc 3.13

Properties
Its total magnetic moment is 0.00 μB/f.u. The value obtained for the energy is -2.640 eV per atom. The formation energy from the elements comes out at -0.0077 eV per atom.